Entry 1:
Density functional theory data (PBE) for a relaxed AcY3In4 crystal.

Lattice parameters (Å, degrees): 10.977 7.453 5.611 90.00 90.00 90.00
Fractional coordinates of all 16 atoms:
Ac (0.000, 0.000, 0.000)
Ac (0.500, 0.000, 0.000)
Y (0.000, 0.500, 0.000)
Y (0.250, 0.000, 0.445)
Y (0.250, 0.500, 0.422)
Y (0.500, 0.500, 0.000)
Y (0.750, 0.000, 0.555)
Y (0.750, 0.500, 0.578)
In (0.000, 0.270, 0.500)
In (0.000, 0.730, 0.500)
In (0.250, 0.269, 0.918)
In (0.250, 0.731, 0.918)
In (0.500, 0.270, 0.500)
In (0.500, 0.730, 0.500)
In (0.750, 0.269, 0.082)
In (0.750, 0.731, 0.082)

Calculated values
- SG = No. 51
- D(E_F) (states/eV/f.u.) = 4.55
- energy of formation (eV/f.u.) = -3.6

Entry 2:
Density functional theory data (PBE) for a relaxed Zn2BAuBr crystal.

Lattice parameters (Å, degrees): 4.125 4.125 5.516 90.00 90.00 90.00
Fractional coordinates of all 5 atoms:
Zn (0.000, 0.500, 0.000)
Zn (0.500, 0.000, 0.000)
B (0.000, 0.000, 0.000)
Au (0.500, 0.500, 0.500)
Br (0.000, 0.000, 0.500)

Calculated values
- SG = No. 123
- D(E_F) (states/eV/f.u.) = 1.15
- VASP energy (hartree per atom) = -0.08831

Entry 3:
Density functional theory data (PBE) for a relaxed Cs2KHgTe2 crystal.

Lattice parameters (Å, degrees): 10.426 10.426 10.426 136.26 64.18 135.48
Fractional coordinates of all 12 atoms:
Cs (0.168, 0.230, 0.398)
Cs (0.332, 0.730, 0.063)
Cs (0.668, 0.270, 0.937)
Cs (0.832, 0.770, 0.602)
K (0.250, 0.750, 0.500)
K (0.750, 0.250, 0.500)
Hg (0.250, 0.250, 0.000)
Hg (0.750, 0.750, 0.000)
Te (0.112, 0.758, 0.870)
Te (0.388, 0.258, 0.646)
Te (0.612, 0.742, 0.354)
Te (0.888, 0.242, 0.130)

Calculated values
- SG = No. 72
- D(E_F) (states/eV/f.u.) = 4.15
- VASP energy (hartree per atom) = -0.08554

Entry 4:
Density functional theory data (PBE) for a relaxed Cu6Pd5Pb crystal.

Lattice parameters (Å, degrees): 7.270 7.270 7.270 147.73 120.65 69.19
Fractional coordinates of all 12 atoms:
Cu (0.065, 0.327, 0.737)
Cu (0.226, 0.000, 0.226)
Cu (0.410, 0.673, 0.737)
Cu (0.590, 0.327, 0.263)
Cu (0.774, 0.000, 0.774)
Cu (0.935, 0.673, 0.263)
Pd (0.000, 0.500, 0.500)
Pd (0.173, 0.173, 0.000)
Pd (0.340, 0.840, 0.500)
Pd (0.660, 0.160, 0.500)
Pd (0.827, 0.827, 0.000)
Pb (0.500, 0.500, 0.000)

Calculated values
- SG = No. 71
- D(E_F) (states/eV/f.u.) = 2.67
- energy of formation (eV/f.u.) = -1.2

Entry 5:
Density functional theory data (PBE) for a relaxed Tc2RuCl crystal.

Lattice parameters (Å, degrees): 2.867 2.867 7.158 90.00 90.00 90.00
Fractional coordinates of all 4 atoms:
Tc (0.000, 0.000, 0.000)
Tc (0.500, 0.500, 0.245)
Ru (0.500, 0.500, 0.757)
Cl (0.000, 0.000, 0.491)

Calculated values
- SG = No. 99
- D(E_F) (states/eV/f.u.) = 4.10
- VASP energy (hartree per atom) = -0.27857

Entry 6:
Density functional theory data (PBE) for a relaxed Cs2SeI2Br4 crystal.

Lattice parameters (Å, degrees): 7.765 7.765 7.765 110.66 110.66 107.13
Fractional coordinates of all 9 atoms:
Cs (0.250, 0.750, 0.500)
Cs (0.750, 0.250, 0.500)
Se (0.000, 0.000, 0.000)
I (0.343, 0.343, 0.000)
I (0.657, 0.657, 0.000)
Br (0.209, 0.209, 0.418)
Br (0.209, 0.791, 0.000)
Br (0.791, 0.209, 0.000)
Br (0.791, 0.791, 0.582)

Calculated values
- SG = No. 139
- VASP energy (hartree per atom) = -0.09276

Entry 7:
Density functional theory data (PBE) for a relaxed MgBiO2 crystal.

Lattice parameters (Å, degrees): 4.286 4.286 4.286 60.00 60.00 60.00
Fractional coordinates of all 4 atoms:
Mg (0.000, 0.000, 0.000)
Bi (0.500, 0.500, 0.500)
O (0.250, 0.250, 0.250)
O (0.750, 0.750, 0.750)

Calculated values
- SG = No. 225
- D(E_F) (states/eV/f.u.) = 0.98
- VASP energy (hartree per atom) = -0.17190

Entry 8:
Density functional theory data (PBE) for a relaxed DyErRhPb crystal.

Lattice parameters (Å, degrees): 5.125 5.125 5.125 60.00 60.00 60.00
Fractional coordinates of all 4 atoms:
Dy (0.000, 0.000, 0.000)
Er (0.500, 0.500, 0.500)
Rh (0.250, 0.250, 0.250)
Pb (0.750, 0.750, 0.750)

Calculated values
- SG = No. 216
- D(E_F) (states/eV/f.u.) = 3.16
- energy of formation (eV/f.u.) = -2.1

Entry 9:
Density functional theory data (PBE) for a relaxed Li12Tl crystal.

Lattice parameters (Å, degrees): 7.491 7.491 7.491 90.00 90.00 90.00
Fractional coordinates of all 13 atoms:
Li (0.000, 0.249, 0.500)
Li (0.000, 0.500, 0.249)
Li (0.000, 0.500, 0.751)
Li (0.000, 0.751, 0.500)
Li (0.249, 0.000, 0.500)
Li (0.249, 0.500, 0.000)
Li (0.500, 0.000, 0.249)
Li (0.500, 0.000, 0.751)
Li (0.500, 0.249, 0.000)
Li (0.500, 0.751, 0.000)
Li (0.751, 0.000, 0.500)
Li (0.751, 0.500, 0.000)
Tl (0.000, 0.000, 0.000)

Calculated values
- SG = No. 221
- D(E_F) (states/eV/f.u.) = 8.09
- energy of formation (eV/f.u.) = 6.6

Entry 10:
Density functional theory data (PBE) for a relaxed Ta2ZnAs crystal.

Lattice parameters (Å, degrees): 5.079 5.079 4.686 117.26 117.26 39.52
Fractional coordinates of all 4 atoms:
Ta (0.241, 0.241, 0.241)
Ta (0.759, 0.759, 0.759)
Zn (0.000, 0.000, 0.500)
As (0.500, 0.500, 0.000)

Calculated values
- SG = No. 12
- D(E_F) (states/eV/f.u.) = 1.25
- energy of formation (eV/f.u.) = -0.1

Entry 11:
Density functional theory data (PBE) for a relaxed VZnC3 crystal.

Lattice parameters (Å, degrees): 3.862 3.862 3.862 90.00 90.00 90.00
Fractional coordinates of all 5 atoms:
V (0.000, 0.000, 0.000)
Zn (0.500, 0.500, 0.500)
C (0.000, 0.500, 0.500)
C (0.500, 0.000, 0.500)
C (0.500, 0.500, 0.000)

Calculated values
- SG = No. 221
- D(E_F) (states/eV/f.u.) = 3.85
- energy of formation (eV/f.u.) = 13.3

Entry 12:
Density functional theory data (PBE) for a relaxed LiCoPRu2 crystal.

Lattice parameters (Å, degrees): 4.086 4.086 3.839 90.00 90.00 90.00
Fractional coordinates of all 5 atoms:
Li (0.000, 0.000, 0.000)
Co (0.500, 0.500, 0.500)
P (0.000, 0.000, 0.500)
Ru (0.000, 0.500, 0.000)
Ru (0.500, 0.000, 0.000)

Calculated values
- SG = No. 123
- D(E_F) (states/eV/f.u.) = 5.89
- energy of formation (eV/f.u.) = 5.2